(1)
# AgP2Ru (PBEsol, relaxed)
# - Size of the total moment: 0.000 μB per formula unit
# - Crystal system: orthorhombic
# - Energy above the most stable polymorph in this dataset: 0.130 eV/atom
# - Formation energy from the elements: 0.36 eV per atom
data_AgP2Ru
_space_group_name_H-M_alt 'C m m 2'
_space_group_IT_number 35
_cell_length_a 3.059
_cell_length_b 4.673
_cell_length_c 8.188
_cell_angle_alpha 90.00
_cell_angle_beta 90.00
_cell_angle_gamma 90.00
loop_
_space_group_symop_operation_xyz
'x,y,z'
'-x,-y,z'
'-x,y,z'
'x,-y,z'
'x+1/2,y+1/2,z'
'-x+1/2,-y+1/2,z'
'-x+1/2,y+1/2,z'
'x+1/2,-y+1/2,z'
loop_
_atom_site_label
_atom_site_type_symbol
_atom_site_fract_x
_atom_site_fract_y
_atom_site_fract_z
Ag1 Ag 0.000 0.000 0.000
P1 P 0.000 0.000 0.511
P2 P 0.000 0.500 0.262
Ru1 Ru 0.000 0.500 0.710

=====

(2)
# AgP2RuS (PBEsol, relaxed)
# - Size of the total moment: 0.000 μB per formula unit
# - Crystal system: tetragonal
# - ΔE_f (raw): 0.62 eV per atom
data_AgP2RuS
_space_group_name_H-M_alt 'P 4/m m m'
_space_group_IT_number 123
_space_group_name_Hall '-P 4 2'
_cell_length_a 4.366
_cell_length_b 4.366
_cell_length_c 5.137
_cell_angle_alpha 90.00
_cell_angle_beta 90.00
_cell_angle_gamma 90.00
loop_
_atom_site_label
_atom_site_type_symbol
_atom_site_fract_x
_atom_site_fract_y
_atom_site_fract_z
Ag1 Ag 0.000 0.000 0.000
P1 P 0.000 0.500 0.500
Ru1 Ru 0.500 0.500 0.500
S1 S 0.500 0.500 0.000

=====

(3)
# AgSnPRu2 (PBEsol, relaxed)
# - Size of the total moment: 0.004 μB per formula unit
# - Crystal system: tetragonal
# - Formation energy from the elements: 0.65 eV per atom
data_AgSnPRu2
_space_group_name_H-M_alt 'P 4/m m m'
_space_group_IT_number 123
_space_group_name_Hall '-P 4 2'
_cell_length_a 4.318
_cell_length_b 4.318
_cell_length_c 4.978
_cell_angle_alpha 90.00
_cell_angle_beta 90.00
_cell_angle_gamma 90.00
loop_
_atom_site_label
_atom_site_type_symbol
_atom_site_fract_x
_atom_site_fract_y
_atom_site_fract_z
Ag1 Ag 0.000 0.000 0.000
Sn1 Sn 0.500 0.500 0.000
P1 P 0.500 0.500 0.500
Ru1 Ru 0.000 0.500 0.500

=====

(4)
# Ag2PS3 (PBEsol, relaxed)
# - Size of the total moment: 0.000 μB per formula unit
# - Crystal system: orthorhombic
# - ΔE_f (raw): -0.18 eV per atom
data_Ag2PS3
_space_group_name_H-M_alt 'P 21 21 21'
_space_group_IT_number 19
_cell_length_a 6.164
_cell_length_b 10.934
_cell_length_c 13.763
_cell_angle_alpha 90.00
_cell_angle_beta 90.00
_cell_angle_gamma 90.00
loop_
_space_group_symop_operation_xyz
'x,y,z'
'-x+1/2,-y,z+1/2'
'x+1/2,-y+1/2,-z'
'-x,y+1/2,-z+1/2'
loop_
_atom_site_label
_atom_site_type_symbol
_atom_site_fract_x
_atom_site_fract_y
_atom_site_fract_z
Ag1 Ag 0.026 0.192 0.108
Ag2 Ag 0.085 0.646 0.608
Ag3 Ag 0.095 0.382 0.638
Ag4 Ag 0.226 0.287 0.376
P1 P 0.072 0.004 0.459
P2 P 0.111 0.967 0.296
S1 S 0.085 0.671 0.036
S2 S 0.105 0.363 0.985
S3 S 0.128 0.984 0.017
S4 S 0.191 0.465 0.262
S5 S 0.215 0.885 0.745
S6 S 0.234 0.197 0.786